[1]
! PBEsol Ir2Ru, optimized geometry; values from VASP
&SYSTEM
  ibrav = 0, nat = 12, ntyp = 2
/
ATOMIC_SPECIES
Ir 192.22 Ir.upf
Ru 101.07 Ru.upf
ATOMIC_POSITIONS crystal
Ir 0.749 0.749 0.499
Ir 0.251 0.251 0.501
Ir 0.999 0.499 0.999
Ir 0.666 0.166 0.332
Ir 0.416 0.416 0.832
Ir 0.584 0.584 0.168
Ir 0.501 0.001 0.001
Ir 0.834 0.334 0.668
Ru 0.334 0.834 0.669
Ru 0.916 0.916 0.831
Ru 0.166 0.666 0.331
Ru 0.084 0.084 0.169
CELL_PARAMETERS angstrom
-2.793 -0.444 2.547
-0.846 -3.385 -1.519
9.151 -3.130 6.646
! **Magnetization**: 0.0 Bohr magnetons per cell
! **Raw total energy**: -9.975 eV/atom
! **Symmetry**: No. 141
! **Excess energy over the best structure of this formula in the dataset**: 0.0 meV/atom


[2]
! PBEsol Ir5Ru, optimized geometry; values from VASP
&SYSTEM
  ibrav = 0, nat = 6, ntyp = 2
/
ATOMIC_SPECIES
Ir 192.22 Ir.upf
Ru 101.07 Ru.upf
ATOMIC_POSITIONS crystal
Ir 0.387 0.774 0.274
Ir 0.057 0.115 0.615
Ir 0.667 0.333 0.332
Ir 0.333 0.665 0.668
Ir 0.001 0.001 0.999
Ru 0.722 0.444 0.945
CELL_PARAMETERS angstrom
2.720 0.000 0.000
-1.360 4.960 0.001
0.000 -1.613 6.211
! **Magnetization**: 0.0 Bohr magnetons per cell
! **Raw total energy**: -9.851 eV/atom
! **Symmetry**: No. 8
! **Excess energy over the best structure of this formula in the dataset**: 43.3 meV/atom


[3]
! PBEsol Ir5Ru, optimized geometry; values from VASP
&SYSTEM
  ibrav = 0, nat = 6, ntyp = 2
/
ATOMIC_SPECIES
Ir 192.22 Ir.upf
Ru 101.07 Ru.upf
ATOMIC_POSITIONS crystal
Ir 0.000 0.000 0.164
Ir 0.000 0.000 0.836
Ir 0.500 0.500 0.667
Ir 0.500 0.500 0.333
Ir 0.000 0.000 0.500
Ru 0.500 0.500 0.000
CELL_PARAMETERS angstrom
-0.896 -0.237 2.536
-2.136 -1.395 -0.885
5.901 -9.776 1.173
! **Magnetization**: 0.0 Bohr magnetons per cell
! **Raw total energy**: -9.895 eV/atom
! **Symmetry**: No. 123
! **Excess energy over the best structure of this formula in the dataset**: 0.0 meV/atom


[4]
! PBEsol IrRu4, optimized geometry; values from VASP
&SYSTEM
  ibrav = 0, nat = 5, ntyp = 2
/
ATOMIC_SPECIES
Ru 101.07 Ru.upf
Ir 192.22 Ir.upf
ATOMIC_POSITIONS crystal
Ru 0.402 0.796 0.401
Ru 0.802 0.599 0.796
Ru 0.598 0.204 0.599
Ru 0.198 0.401 0.204
Ir 0.000 0.000 0.000
CELL_PARAMETERS angstrom
-3.238 -1.129 -1.594
0.550 -2.289 -3.981
-1.395 -4.205 1.327
! **Magnetization**: 0.0 Bohr magnetons per cell
! **Raw total energy**: -10.058 eV/atom
! **Symmetry**: No. 87


[5]
! PBEsol Ir3Ru5, optimized geometry; values from VASP
&SYSTEM
  ibrav = 0, nat = 8, ntyp = 2
/
ATOMIC_SPECIES
Ru 101.07 Ru.upf
Ir 192.22 Ir.upf
ATOMIC_POSITIONS crystal
Ru 0.000 0.500 0.000
Ru 0.500 0.248 0.752
Ru 0.500 0.752 0.248
Ru 0.000 0.000 0.000
Ru 0.000 0.000 0.500
Ir 0.500 0.751 0.751
Ir 0.500 0.249 0.249
Ir 0.000 0.500 0.500
CELL_PARAMETERS angstrom
3.779 0.000 0.000
0.000 5.363 0.003
0.000 -0.008 5.363
! **Magnetization**: 0.0 Bohr magnetons per cell
! **Raw total energy**: -10.042 eV/atom
! **Symmetry**: No. 65


[6]
! PBEsol Ir2Ru, optimized geometry; values from VASP
&SYSTEM
  ibrav = 0, nat = 3, ntyp = 2
/
ATOMIC_SPECIES
Ir 192.22 Ir.upf
Ru 101.07 Ru.upf
ATOMIC_POSITIONS crystal
Ir 0.667 0.333 0.328
Ir 0.333 0.667 0.672
Ru 0.000 0.000 0.000
CELL_PARAMETERS angstrom
2.694 0.000 0.000
-1.347 2.333 0.000
0.000 0.000 6.594
! **Magnetization**: 0.0 Bohr magnetons per cell
! **Raw total energy**: -9.955 eV/atom
! **Symmetry**: No. 164
! **Excess energy over the best structure of this formula in the dataset**: 19.6 meV/atom


[7]
! PBEsol Ir2Ru, optimized geometry; values from VASP
&SYSTEM
  ibrav = 0, nat = 6, ntyp = 2
/
ATOMIC_SPECIES
Ir 192.22 Ir.upf
Ru 101.07 Ru.upf
ATOMIC_POSITIONS crystal
Ir 0.001 0.001 0.998
Ir 0.666 0.332 0.335
Ir 0.333 0.667 0.668
Ir 0.389 0.778 0.277
Ru 0.057 0.114 0.614
Ru 0.720 0.441 0.942
CELL_PARAMETERS angstrom
2.713 0.000 0.000
-1.357 4.929 0.001
0.000 -1.565 6.199
! **Magnetization**: 0.0 Bohr magnetons per cell
! **Raw total energy**: -9.946 eV/atom
! **Symmetry**: No. 8
! **Excess energy over the best structure of this formula in the dataset**: 29.2 meV/atom


[8]
! PBEsol SbIr2Ru, optimized geometry; values from VASP
&SYSTEM
  ibrav = 0, nat = 4, ntyp = 3
/
ATOMIC_SPECIES
Ir 192.22 Ir.upf
Sb 121.76 Sb.upf
Ru 101.07 Ru.upf
ATOMIC_POSITIONS crystal
Ir 0.000 0.000 0.029
Ir 0.000 0.500 0.698
Sb 0.500 0.500 0.213
Ru 0.500 0.000 0.559
CELL_PARAMETERS angstrom
2.849 0.000 0.000
0.000 4.444 0.000
0.000 0.000 4.847
! **Magnetization**: 0.0 Bohr magnetons per cell
! **Raw total energy**: -8.364 eV/atom
! **Energy relative to the elements, uncorrected**: 0.23 eV per atom
! **Symmetry**: No. 25


[9]
! PBEsol SbIr2Ru, optimized geometry; values from VASP
&SYSTEM
  ibrav = 0, nat = 4, ntyp = 3
/
ATOMIC_SPECIES
Ir 192.22 Ir.upf
Ru 101.07 Ru.upf
Sb 121.76 Sb.upf
ATOMIC_POSITIONS crystal
Ir 0.245 0.234 0.490
Ir 0.755 0.766 0.510
Ru 0.500 0.000 0.000
Sb 0.000 0.500 0.000
CELL_PARAMETERS angstrom
-0.999 1.343 -2.355
-4.411 -0.334 1.680
1.696 3.333 2.954
! **Magnetization**: 0.0 Bohr magnetons per cell
! **Raw total energy**: -8.404 eV/atom
! **Energy relative to the elements, uncorrected**: 0.19 eV per atom
! **Symmetry**: No. 12


[10]
! PBEsol SbIr2Ru, optimized geometry; values from VASP
&SYSTEM
  ibrav = 0, nat = 4, ntyp = 3
/
ATOMIC_SPECIES
Sb 121.76 Sb.upf
Ir 192.22 Ir.upf
Ru 101.07 Ru.upf
ATOMIC_POSITIONS crystal
Sb 0.000 0.500 0.000
Ir 0.260 0.260 0.520
Ir 0.740 0.740 0.480
Ru 0.500 0.000 0.000
CELL_PARAMETERS angstrom
2.872 0.000 0.000
0.000 4.600 0.000
-1.436 -2.300 4.689
! **Magnetization**: 0.7 Bohr magnetons per cell
! **Raw total energy**: -8.242 eV/atom
! **Energy relative to the elements, uncorrected**: 0.35 eV per atom
! **Symmetry**: No. 71


[11]
! PBEsol SbIr2Ru, optimized geometry; values from VASP
&SYSTEM
  ibrav = 0, nat = 4, ntyp = 3
/
ATOMIC_SPECIES
Ir 192.22 Ir.upf
Ru 101.07 Ru.upf
Sb 121.76 Sb.upf
ATOMIC_POSITIONS crystal
Ir 0.250 0.750 0.500
Ir 0.000 0.000 0.000
Ru 0.500 0.500 0.000
Sb 0.750 0.250 0.500
CELL_PARAMETERS angstrom
4.003 0.000 0.000
0.000 4.003 0.000
-2.002 -2.002 3.779
! **Magnetization**: 0.0 Bohr magnetons per cell
! **Raw total energy**: -8.428 eV/atom
! **Energy relative to the elements, uncorrected**: 0.17 eV per atom
! **Symmetry**: No. 119


[12]
! PBEsol SbIr2Ru, optimized geometry; values from VASP
&SYSTEM
  ibrav = 0, nat = 4, ntyp = 3
/
ATOMIC_SPECIES
Ir 192.22 Ir.upf
Ru 101.07 Ru.upf
Sb 121.76 Sb.upf
ATOMIC_POSITIONS crystal
Ir 0.000 0.000 0.007
Ir 0.500 0.500 0.258
Ru 0.000 0.000 0.488
Sb 0.500 0.500 0.747
CELL_PARAMETERS angstrom
2.894 0.000 0.000
0.000 2.894 0.000
0.000 0.000 7.380
! **Magnetization**: 0.0 Bohr magnetons per cell
! **Raw total energy**: -8.260 eV/atom
! **Energy relative to the elements, uncorrected**: 0.33 eV per atom
! **Symmetry**: No. 99